Below is a relaxed structure of Sm3Ho3TlIn2, with properties calculated at the GGA-PBE level.

## Properties
* M_tot: 0.00 μB per atom
* ρ: 8641 kg/m3
* formation enthalpy at 0 K: -0.281 eV/atom
* VASP energy: -4.25 eV/atom

Cell lengths 9.0366, 9.0366, 3.7495 Å; angles 90.00, 90.00, 120.00 degrees
Space group P-62m (No. 189)
Symmetry-distinct sites (fractional):
Sm: 0.0000 0.7105 0.0000 x3
Ho: 0.0000 0.3823 0.5000 x3
Tl: 0.0000 0.0000 0.5000 x1
In: 0.3333 0.6667 0.0000 x2

=====

Below is a relaxed structure of TbYTm4Sc2, with properties calculated at the GGA-PBE level.

## Properties
* M_tot: 0.00 μB per atom
* ρ: 7251 kg/m3
* formation enthalpy at 0 K: 0.043 eV/atom
* VASP energy: -5.16 eV/atom

Cell lengths 11.9634, 6.9045, 11.9316 Å; angles 90.00, 109.61, 90.00 degrees
Space group C2/m (No. 12)
Symmetry-distinct sites (fractional):
Tb: 0.2500 0.2500 0.0000 x4
Y: 0.0000 0.0000 0.0000 x2
Y: 0.0000 0.0000 0.5000 x2
Tm: 0.0017 0.2523 0.2535 x8
Tm: 0.2467 0.5000 0.7407 x4
Tm: 0.2504 0.0000 0.7475 x4
Sc: 0.0000 0.5000 0.0000 x2
Sc: 0.0000 0.5000 0.5000 x2
Sc: 0.2500 0.2500 0.5000 x4